Record 1
The following is a PBE calculation of a geometry-optimized FeRe4Os2 structure, from Alexandria.

POSCAR file:
```
FeRe4Os2
1.0
-2.1681 2.1681 6.3337
2.1681 -2.1681 6.3337
2.1681 2.1681 -6.3337
Fe Re Os
1 4 2
Cartesian
0.0000 0.0000 0.0000 Fe
2.1681 0.0000 0.0000 Re
0.0000 0.0000 2.3387 Re
0.0000 2.1681 0.0000 Re
0.0000 0.0000 10.3287 Re
0.0000 0.0000 4.7160 Os
0.0000 0.0000 7.9514 Os
```

Values from the calculation:
Calculated formation energy   146 kJ per mole of atoms



Record 2
The following is a PBE calculation of a geometry-optimized BiPdIO2 structure, from Alexandria.

POSCAR file:
```
BiPdIO2
1.0
4.1520 0.0000 0.0000
0.0000 4.1520 0.0000
0.0000 0.0000 7.0294
Bi Pd I O
1 1 1 2
Cartesian
0.0000 0.0000 0.0000 Bi
2.0760 2.0760 3.5147 Pd
0.0000 0.0000 3.5147 I
0.0000 2.0760 0.0000 O
2.0760 0.0000 0.0000 O
```

Values from the calculation:
Energy above the lowest structure with this stoichiometry   0 meV per atom
E_form (uncorrected)   -0.1234 eV/atom



Record 3
The following is a PBE calculation of a geometry-optimized La3CdIr structure, from Alexandria.

POSCAR file:
```
La3CdIr
1.0
4.7465 0.0000 0.0000
0.0000 4.7465 0.0000
0.0000 0.0000 8.5024
La Cd Ir
3 1 1
Cartesian
0.0000 0.0000 0.0000 La
0.0000 2.3732 5.6943 La
2.3732 0.0000 5.6943 La
0.0000 0.0000 3.2872 Cd
2.3732 2.3732 7.3261 Ir
```

Values from the calculation:
Calculated formation energy   2 kJ per mole of atoms
Energy above the lowest structure with this stoichiometry   514 meV per atom



Record 4
The following is a PBE calculation of a geometry-optimized Cd2CuOs structure, from Alexandria.

POSCAR file:
```
Cd2CuOs
1.0
4.7607 -1.3846 0.0000
4.7607 1.3846 0.0000
-0.8506 0.0000 5.0595
Cd Cu Os
2 1 1
Cartesian
2.1458 0.0000 1.2499 Cd
6.5250 0.0000 3.8096 Cd
4.7607 0.0000 0.0000 Cu
-0.4253 0.0000 2.5298 Os
```

Values from the calculation:
Calculated formation energy   49 kJ per mole of atoms
Energy above the lowest structure with this stoichiometry   115 meV per atom



Record 5
The following is a PBE calculation of a geometry-optimized SrMnFe2 structure, from Alexandria.

POSCAR file:
```
SrMnFe2
1.0
3.2477 0.0000 0.0000
0.0000 3.2477 0.0000
0.0000 0.0000 6.7356
Sr Mn Fe
1 1 2
Cartesian
0.0000 0.0000 0.0000 Sr
0.0000 0.0000 3.3678 Mn
1.6238 1.6238 2.2721 Fe
1.6238 1.6238 4.4636 Fe
```

Values from the calculation:
Calculated formation energy   57 kJ per mole of atoms



Record 6
The following is a PBE calculation of a geometry-optimized LiLaCd2 structure, from Alexandria.

POSCAR file:
```
LiLaCd2
1.0
3.5004 0.0000 0.0000
0.0000 3.5004 0.0000
0.0000 0.0000 7.8736
Li La Cd
1 1 2
Cartesian
0.0000 0.0000 0.0000 Li
0.0000 0.0000 3.9368 La
1.7502 1.7502 1.5567 Cd
1.7502 1.7502 6.3169 Cd
```

Values from the calculation:
Calculated formation energy   -26 kJ per mole of atoms



Record 7
The following is a PBE calculation of a geometry-optimized CeMgSc4 structure, from Alexandria.

POSCAR file:
```
CeMgSc4
1.0
3.2663 0.0000 0.0000
0.0000 3.2663 0.0000
0.0000 0.0000 13.9717
Ce Mg Sc
1 1 4
Cartesian
0.0000 0.0000 0.0000 Ce
1.6332 1.6332 6.9859 Mg
0.0000 0.0000 4.7447 Sc
0.0000 0.0000 9.2270 Sc
1.6332 1.6332 2.4474 Sc
1.6332 1.6332 11.5243 Sc
```

Values from the calculation:
Calculated formation energy   3 kJ per mole of atoms



Record 8
The following is a PBE calculation of a geometry-optimized Na2MgCd3In4 structure, from Alexandria.

POSCAR file:
```
Na2MgCd3In4
1.0
4.4606 0.0000 0.0000
0.0000 4.4606 0.0000
0.0000 0.0000 13.6765
Na Mg Cd In
2 1 3 4
Cartesian
0.0000 2.2303 3.3320 Na
2.2303 0.0000 10.3445 Na
2.2303 2.2303 0.0000 Mg
0.0000 0.0000 0.0000 Cd
0.0000 2.2303 8.8948 Cd
2.2303 0.0000 4.7817 Cd
0.0000 0.0000 6.8382 In
0.0000 2.2303 11.6826 In
2.2303 0.0000 1.9939 In
2.2303 2.2303 6.8382 In
```

Values from the calculation:
Calculated formation energy   -3 kJ per mole of atoms



Record 9
The following is a PBE calculation of a geometry-optimized CdP2 structure, from Alexandria.

POSCAR file:
```
CdP2
1.0
1.6426 -6.8012 0.0000
1.6426 6.8012 0.0000
0.0000 0.0000 5.2785
Cd P
2 4
Cartesian
1.6426 4.3880 3.9589 Cd
1.6426 -4.3880 1.3196 Cd
1.6426 5.1568 1.3196 P
1.6426 0.1336 3.9589 P
1.6426 -0.1336 1.3196 P
1.6426 -5.1568 3.9589 P
```

Values from the calculation:
Calculated formation energy   12 kJ per mole of atoms



Record 10
The following is a PBE calculation of a geometry-optimized FeRe2HW structure, from Alexandria.

POSCAR file:
```
FeRe2HW
1.0
3.9562 0.0000 0.0000
0.0000 3.9562 0.0000
0.0000 0.0000 3.7838
Fe Re H W
1 2 1 1
Cartesian
0.0000 0.0000 0.0000 Fe
0.0000 1.9781 1.8919 Re
1.9781 0.0000 1.8919 Re
0.0000 0.0000 1.8919 H
1.9781 1.9781 0.0000 W
```

Values from the calculation:
Uncorrected energy   -9.81 eV/atom



Record 11
The following is a PBE calculation of a geometry-optimized ScTlSb2I structure, from Alexandria.

POSCAR file:
```
ScTlSb2I
1.0
5.5450 0.0000 0.0000
0.0000 5.5450 0.0000
0.0000 0.0000 5.9438
Sc Tl Sb I
1 1 2 1
Cartesian
0.0000 0.0000 0.0000 Sc
2.7725 2.7725 2.9719 Tl
0.0000 2.7725 0.0000 Sb
2.7725 0.0000 0.0000 Sb
0.0000 0.0000 2.9719 I
```

Values from the calculation:
Energy above the lowest structure with this stoichiometry   0 meV per atom
E_form (uncorrected)   -0.1706 eV/atom



Record 12
The following is a PBE calculation of a geometry-optimized Cs3CaCr2Br9 structure, from Alexandria.

POSCAR file:
```
Cs3CaCr2Br9
1.0
7.7715 0.0000 0.0000
-3.8858 6.7303 0.0000
0.0000 0.0000 9.5334
Cs Ca Cr Br
3 1 2 9
Cartesian
0.0000 0.0000 0.0000 Cs
0.0000 4.4869 6.3745 Cs
3.8858 2.2434 3.1589 Cs
0.0000 0.0000 4.7667 Ca
0.0000 4.4869 1.4922 Cr
3.8858 2.2434 8.0411 Cr
-1.9429 3.3652 0.0000 Br
0.0000 2.3318 3.0685 Br
-1.8664 5.5644 3.0685 Br
2.0194 1.1659 6.4648 Br
3.8858 0.0000 0.0000 Br
1.9429 3.3652 0.0000 Br
1.8664 5.5644 3.0685 Br
5.7521 1.1659 6.4648 Br
3.8858 4.3985 6.4648 Br
```

Values from the calculation:
E_form (uncorrected)   -1.3878 eV/atom



> Number 8 is which compound?

Na2MgCd3In4